--- a ---
4
Lattice="-2.518 8.789 -4.594 -5.669 6.416 -5.603 -5.620 8.313 -1.999" Properties=species:S:1:pos:R:3 comment="TePb2Cl (PBE, relaxed)" total_magnetization_mub_per_fu=0.000 sg="R3m (160)" pbc="T T T"
Pb -3.329 5.671 -2.941
Pb -0.124 0.212 -0.110
Te -7.087 12.071 -6.260
Cl -10.171 17.323 -8.984

=====

--- b ---
4
Lattice="4.993 0.001 0.013 3.213 3.821 0.013 1.705 0.794 6.681" Properties=species:S:1:pos:R:3 comment="TePb2Cl (PBE, relaxed)" total_magnetization_mub_per_fu=0.000 sg="C2/m (12)" pbc="T T T"
Cl 2.478 1.154 1.677
Pb 0.027 0.012 0.041
Pb 4.929 2.296 3.313
Te 7.434 3.463 5.031

=====

Question: of the structures shown, which is the least stable? Reply: a.